1.
VASP calculation (PBE with a Hubbard U) on an optimized crystal structure of Ca2MnGaO5.

abc: 5.412 5.620 15.091
angles: 90.00 90.00 90.00
Site moments in Bohr magnetons follow the coordinates.
Element x y z (fractional)
1 Mn 0.500 0.500 0.500  3.91
2 Ca 0.525 0.025 0.111  0.00
3 O 0.540 0.578 0.856  0.01
4 O 0.773 0.719 0.483  -0.04
5 Ga 0.043 0.936 0.250  0.01
6 Ga 0.543 0.564 0.250  0.01
7 O 0.460 0.422 0.356  0.01
8 Ga 0.457 0.436 0.750  0.01
9 O 0.273 0.781 0.483  -0.04
10 O 0.607 0.126 0.750  0.00
11 O 0.893 0.626 0.250  0.00
12 Ga 0.957 0.064 0.750  0.01
13 O 0.540 0.578 0.644  0.01
14 Mn 0.000 0.000 0.500  3.91
15 O 0.107 0.374 0.750  0.00
16 Mn 0.500 0.500 0.000  3.91
17 O 0.393 0.874 0.250  0.00
18 O 0.773 0.719 0.017  -0.04
19 Ca 0.975 0.525 0.889  0.00
20 Ca 0.975 0.525 0.611  0.00
21 O 0.040 0.922 0.856  0.01
22 O 0.727 0.219 0.983  -0.04
23 O 0.227 0.281 0.517  -0.04
24 O 0.960 0.078 0.356  0.01
25 O 0.273 0.781 0.017  -0.04
26 Ca 0.475 0.975 0.611  0.00
27 O 0.227 0.281 0.983  -0.04
28 Ca 0.025 0.475 0.389  0.00
29 O 0.040 0.922 0.644  0.01
30 Ca 0.475 0.975 0.889  0.00
31 Ca 0.525 0.025 0.389  0.00
32 O 0.960 0.078 0.144  0.01
33 O 0.727 0.219 0.517  -0.04
34 O 0.460 0.422 0.144  0.01
35 Mn 0.000 0.000 0.000  3.91
36 Ca 0.025 0.475 0.111  0.00

Calculated values
N(E_F)   0.041 states/eV/atom
Space-group type   No. 62
Size of the total moment   0.44 μB/atom
Polymorph energy (0 for the lowest one)   0.0000 eV per atom
Crystal system   orthorhombic

---

2.
VASP calculation (PBE with a Hubbard U) on an optimized crystal structure of Ca2MnGaO5.

abc: 5.395 5.647 8.481
angles: 109.45 108.56 89.99
Site moments in Bohr magnetons follow the coordinates.
Element x y z (fractional)
1 O 0.236 0.214 0.971  -0.03
2 O 0.736 0.257 0.971  -0.04
3 Ca 0.608 0.139 0.220  0.00
4 Ga 0.777 0.818 0.500  0.01
5 Ca 0.394 0.861 0.780  0.00
6 Ca 0.108 0.581 0.220  0.00
7 Mn 0.487 0.501 0.000  3.90
8 O 0.800 0.781 0.711  0.01
9 O 0.130 0.874 0.500  0.00
10 O 0.242 0.751 0.029  -0.03
11 Ga 0.277 0.182 0.500  0.01
12 O 0.300 0.431 0.711  0.01
13 Mn 0.987 0.999 0.000  3.90
14 O 0.093 0.219 0.288  0.01
15 O 0.630 0.126 0.500  0.00
16 Ca 0.894 0.418 0.780  0.00
17 O 0.593 0.569 0.288  0.01
18 O 0.742 0.777 0.029  -0.03

Calculated values
N(E_F)   0.065 states/eV/atom
Space-group type   No. 9
Size of the total moment   0.44 μB/atom
Polymorph energy (0 for the lowest one)   0.0027 eV per atom
Crystal system   monoclinic